# 1
First-principles (PBE-GGA) data for CdPdN2 after structural relaxation, as listed in Alexandria.

CIF file:
```
data_CdPdN2
_chemical_formula_sum 'Cd4 Pd4 N8'
_symmetry_space_group_name_H-M 'I -4 2 d'
_symmetry_Int_Tables_number 122
_symmetry_space_group_name_Hall 'I -4 2bw'
_cell_length_a 4.874
_cell_length_b 4.874
_cell_length_c 10.142
_cell_angle_alpha 90.00
_cell_angle_beta 90.00
_cell_angle_gamma 90.00
loop_
_atom_site_label
_atom_site_fract_x
_atom_site_fract_y
_atom_site_fract_z
Cd1 0.000 0.000 0.000
Pd1 0.000 0.000 0.500
N1 0.203 0.250 0.625
```

Properties
Energy relative to the elements, uncorrected = 4.1 eV per formula unit
N(E_F) = 3.28 states/eV/f.u.
DFT total energy = -4.654 eV per atom

# 2
First-principles (PBE-GGA) data for Sr3As5Pd6 after structural relaxation, as listed in Alexandria.

CIF file:
```
data_Sr3As5Pd6
_chemical_formula_sum 'Sr6 As10 Pd12'
_symmetry_space_group_name_H-M 'P m m n'
_symmetry_Int_Tables_number 59
_cell_length_a 4.263
_cell_length_b 13.173
_cell_length_c 10.239
_cell_angle_alpha 90.00
_cell_angle_beta 90.00
_cell_angle_gamma 90.00
loop_
_symmetry_equiv_pos_as_xyz
'x,y,z'
'-x,-y,-z'
'-x+1/2,-y+1/2,z'
'x+1/2,y+1/2,-z'
'x+1/2,-y,-z'
'-x+1/2,y,z'
'-x,y+1/2,-z'
'x,-y+1/2,z'
loop_
_atom_site_label
_atom_site_fract_x
_atom_site_fract_y
_atom_site_fract_z
Sr1 0.250 0.090 0.249
Sr2 0.250 0.750 0.257
As1 0.250 0.078 0.855
As2 0.250 0.629 0.524
As3 0.250 0.750 0.882
Pd1 0.250 0.056 0.599
Pd2 0.250 0.250 0.492
Pd3 0.250 0.250 0.984
Pd4 0.250 0.581 0.007
```

Properties
ΔE_f = -0.77 eV/atom
N(E_F) = 5.95 states/eV/f.u.
DFT total energy = -5.014 eV per atom